1.
VASP calculation (PBE) on an optimized crystal structure of Cd2ReAs.

Lattice parameters (Å, degrees): 4.709 4.709 4.709 60.00 60.00 60.00
Fractional coordinates of all 4 atoms:
Cd: 0.250 0.250 0.250
Cd: 0.000 0.000 0.000
As: 0.500 0.500 0.500
Re: 0.750 0.750 0.750

## Properties
- Space group: F-43m, No. 216
- DFT formation energy: 0.77 eV per atom
- Density: 10.9 g/cm³
- Magnetic moment: 0.00 μB per formula unit
- Energy: -3.9629 eV per atom

---

2.
VASP calculation (PBE) on an optimized crystal structure of CaMgSe2.

Lattice parameters (Å, degrees): 4.279 5.839 16.674 90.00 90.00 90.00
Fractional coordinates of all 16 atoms:
Mg: 0.250 0.231 0.831
Mg: 0.250 0.731 0.669
Mg: 0.750 0.269 0.331
Mg: 0.750 0.769 0.169
Ca: 0.750 0.249 0.566
Ca: 0.750 0.749 0.934
Ca: 0.250 0.751 0.434
Ca: 0.250 0.251 0.066
Se: 0.250 0.255 0.678
Se: 0.750 0.245 0.178
Se: 0.250 0.755 0.822
Se: 0.750 0.750 0.569
Se: 0.750 0.745 0.322
Se: 0.750 0.250 0.931
Se: 0.250 0.750 0.069
Se: 0.250 0.250 0.431

## Properties
- E_form (uncorrected): -605 kJ/mol of formula units
- Space group: Pnma, No. 62
- Density: 3.5 g/cm³
- Magnetic moment: 0.00 μB per formula unit
- Energy: -4.2082 eV per atom

---

3.
VASP calculation (PBE) on an optimized crystal structure of PmDy2Tl.

Lattice parameters (Å, degrees): 5.444 6.683 6.740 81.14 90.00 90.00
Fractional coordinates of all 8 atoms:
Tl: 0.250 0.115 0.262
Tl: 0.750 0.885 0.738
Dy: 0.750 0.418 0.911
Dy: 0.750 0.869 0.220
Dy: 0.250 0.131 0.780
Dy: 0.250 0.582 0.089
Pm: 0.250 0.659 0.570
Pm: 0.750 0.341 0.430

## Properties
- Space group: P2_1/m, No. 11
- DFT formation energy: -0.18 eV per atom
- ΔE to the lowest computed polymorph: 0.008 eV/atom
- Density: 9.2 g/cm³
- Magnetic moment: 0.00 μB per formula unit
- Energy: -4.2589 eV per atom

---

4.
VASP calculation (PBE) on an optimized crystal structure of PrLuPuTl.

Lattice parameters (Å, degrees): 5.502 5.502 5.502 60.00 60.00 60.00
Fractional coordinates of all 4 atoms:
Pu: 0.000 0.000 0.000
Tl: 0.250 0.250 0.250
Pr: 0.500 0.500 0.500
Lu: 0.750 0.750 0.750

## Properties
- Space group: F-43m, No. 216
- DFT formation energy: 0.06 eV per atom
- Density: 10.8 g/cm³
- Magnetic moment: 6.72 μB per formula unit
- Energy: -6.4407 eV per atom

---

5.
VASP calculation (PBE) on an optimized crystal structure of SmDy3Ho8.

Lattice parameters (Å, degrees): 8.580 8.580 8.580 97.48 98.55 136.16
Fractional coordinates of all 12 atoms:
Ho: 0.502 0.248 0.253
Ho: 0.005 0.752 0.254
Ho: 0.832 0.250 0.082
Ho: 0.832 0.750 0.581
Ho: 0.995 0.248 0.747
Ho: 0.498 0.752 0.746
Ho: 0.168 0.251 0.419
Ho: 0.168 0.749 0.918
Dy: 0.500 0.753 0.253
Dy: 0.500 0.247 0.747
Dy: 0.000 0.500 0.500
Sm: 0.000 0.000 0.000

## Properties
- Space group: Immm, No. 71
- DFT formation energy: 0.32 eV per atom
- Density: 8.0 g/cm³
- Magnetic moment: 0.00 μB per formula unit
- Energy: -4.2716 eV per atom

---

6.
VASP calculation (PBE) on an optimized crystal structure of Tb4Ho4Tm5.

Lattice parameters (Å, degrees): 4.965 9.297 9.297 85.91 74.51 74.51
Fractional coordinates of all 13 atoms:
Tb: 0.616 0.306 0.461
Tb: 0.078 0.539 0.306
Tb: 0.922 0.461 0.694
Tb: 0.384 0.694 0.539
Ho: 0.770 0.383 0.076
Ho: 0.230 0.617 0.924
Ho: 0.153 0.076 0.617
Ho: 0.847 0.924 0.383
Tm: 0.691 0.848 0.770
Tm: 0.000 0.000 0.000
Tm: 0.309 0.152 0.230
Tm: 0.461 0.230 0.848
Tm: 0.539 0.770 0.152

## Properties
- Space group: I4/m, No. 87
- DFT formation energy: 0.02 eV per atom
- Density: 8.9 g/cm³
- Magnetic moment: 0.00 μB per formula unit
- Energy: -4.5323 eV per atom

---

density of number 1 (Cd2ReAs)?
10.9 g/cm³

---

Which value of magnetic moment does entry 6 give?
0.00 μB per formula unit

---

Repeat the third record exactly.
VASP calculation (PBE) on an optimized crystal structure of PmDy2Tl.

Lattice parameters (Å, degrees): 5.444 6.683 6.740 81.14 90.00 90.00
Fractional coordinates of all 8 atoms:
Tl: 0.250 0.115 0.262
Tl: 0.750 0.885 0.738
Dy: 0.750 0.418 0.911
Dy: 0.750 0.869 0.220
Dy: 0.250 0.131 0.780
Dy: 0.250 0.582 0.089
Pm: 0.250 0.659 0.570
Pm: 0.750 0.341 0.430

## Properties
- Space group: P2_1/m, No. 11
- DFT formation energy: -0.18 eV per atom
- ΔE to the lowest computed polymorph: 0.008 eV/atom
- Density: 9.2 g/cm³
- Magnetic moment: 0.00 μB per formula unit
- Energy: -4.2589 eV per atom

---

Look up the density of the sixth one.
8.9 g/cm³